Entry 1:
An optimized crystal structure of Tm3PuFe. Source: Alexandria via LeMat-Bulk, functional PBE.

extended XYZ file:
```
5
Lattice="5.174 0.000 0.000 0.000 5.174 0.000 0.000 0.000 5.174" Properties=species:S:1:pos:R:3 pbc="T T T"
Tm 0.000 0.000 2.587
Tm 0.000 2.587 0.000
Tm 2.587 0.000 0.000
Pu 2.587 2.587 2.587
Fe 0.000 0.000 0.000
```

Properties
- formation enthalpy at 0 K (eV per atom) = 0.18
- crystal system = cubic

Entry 2:
An optimized crystal structure of Sm3AgTe2. Source: Alexandria via LeMat-Bulk, functional PBE.

extended XYZ file:
```
24
Lattice="0.000 6.229 13.144 4.425 0.000 13.144 4.425 6.229 0.000" Properties=species:S:1:pos:R:3 pbc="T T T"
Sm 3.287 1.524 7.642
Sm 5.596 4.672 9.858
Sm 3.350 1.524 12.075
Sm 5.562 4.638 14.214
Sm 7.808 7.786 16.431
Sm 5.500 4.638 18.647
Sm 3.350 7.820 7.642
Sm 1.041 4.672 9.858
Sm 3.287 7.820 12.075
Sm 5.500 10.935 14.214
Sm 3.254 7.786 16.431
Sm 5.562 10.935 18.647
Ag 1.106 1.557 1.084
Ag 1.106 1.557 5.488
Ag 7.743 10.901 20.801
Ag 7.743 10.901 25.205
Te 3.318 4.672 3.324
Te 3.318 4.672 7.722
Te 5.531 7.786 9.897
Te 3.318 4.672 11.994
Te 5.531 7.786 14.294
Te 3.318 4.672 16.392
Te 5.531 7.786 18.567
Te 5.531 7.786 22.964
```

Properties
- crystal system = orthorhombic
- formation energy from raw total energies (eV per formula unit) = -5.90

Entry 3:
An optimized crystal structure of K2YCu. Source: Alexandria via LeMat-Bulk, functional PBE.

extended XYZ file:
```
4
Lattice="0.000 4.230 4.230 4.230 0.000 4.230 4.230 4.230 0.000" Properties=species:S:1:pos:R:3 pbc="T T T"
K 2.115 2.115 2.115
K 6.345 6.345 6.345
Y 0.000 0.000 0.000
Cu 4.230 4.230 4.230
```

Properties
- formation enthalpy at 0 K (eV per atom) = 0.91
- crystal system = cubic

Looking at N(E_F) for the records above, in order, we have 10.91 16.86 3.90 states/eV/cell.